--- i ---
First-principles (PBE) data for crystalline YTcPb at its relaxed geometry, as listed in Alexandria via LeMat-Bulk.

Structure (POSCAR):
```
YTcPb
1.0
-1.782 -4.522 0.068
2.980 -3.795 -0.587
0.964 -2.936 3.752
Tc Y Pb
1 1 1
Cartesian
1.081 -5.626 1.616
1.622 -8.440 2.424
0.000 0.000 0.000
```

- Symmetry: F-43m (216)
- Theoretical density: 8.06 Mg/m³
- Crystal system: cubic


--- ii ---
First-principles (PBE) data for crystalline YTcPb at its relaxed geometry, as listed in Alexandria via LeMat-Bulk.

Structure (POSCAR):
```
YTcPb
1.0
5.720 -0.001 0.002
4.586 3.419 0.006
1.134 0.372 3.400
Pb Y Tc
1 1 1
Cartesian
10.127 3.358 0.074
7.359 2.439 1.098
4.261 1.410 2.244
```

- Symmetry: I4mm (107)
- Theoretical density: 9.84 Mg/m³
- Crystal system: tetragonal


The least stable of them is i.


--- i ---
First-principles (PBE) data for crystalline YTcPb at its relaxed geometry, as listed in Alexandria via LeMat-Bulk.

Structure (POSCAR):
```
YTcPb
1.0
-1.201 2.279 3.972
-0.150 -4.730 -0.154
3.427 -0.145 1.119
Y Pb Tc
1 1 1
Cartesian
1.785 -2.490 1.968
0.572 -0.024 0.187
-0.282 -0.081 2.783
```

- Symmetry: P-6m2 (187)
- Theoretical density: 9.34 Mg/m³
- Crystal system: hexagonal


--- ii ---
First-principles (PBE) data for crystalline YTcPb at its relaxed geometry, as listed in Alexandria via LeMat-Bulk.

Structure (POSCAR):
```
YTcPb
1.0
-1.219 -1.309 2.998
0.389 -2.075 -2.780
6.297 -1.420 1.941
Tc Y Pb
1 1 1
Cartesian
1.396 -2.033 1.713
3.845 -2.720 0.376
0.226 -0.051 0.070
```

- Symmetry: P3m1 (156)
- Theoretical density: 9.20 Mg/m³
- Crystal system: trigonal


The least stable of them is ii.


--- i ---
First-principles (PBE) data for crystalline Zr2TcPb at its relaxed geometry, as listed in Alexandria via LeMat-Bulk.

Structure (POSCAR):
```
Zr2TcPb
1.0
5.832 0.013 0.048
4.792 3.325 0.048
1.917 0.602 4.344
Zr Pb Tc
2 1 1
Cartesian
9.357 2.940 3.353
10.383 3.263 0.212
6.465 2.032 2.123
3.230 1.015 1.069
```

- Symmetry: Cm (8)
- Theoretical density: 9.68 Mg/m³
- Crystal system: monoclinic


--- ii ---
First-principles (PBE) data for crystalline Zr2TcPb at its relaxed geometry, as listed in Alexandria via LeMat-Bulk.

Structure (POSCAR):
```
Zr2TcPb
1.0
-2.133 2.021 -1.173
0.150 -2.750 -1.557
-6.591 -3.617 5.751
Zr Pb Tc
2 1 1
Cartesian
-2.607 -1.251 0.045
-6.403 -3.513 5.587
-3.429 -1.882 2.992
-6.022 -3.125 3.024
```

- Symmetry: Cmm2 (35)
- Theoretical density: 9.35 Mg/m³
- Crystal system: orthorhombic


The least stable of them is ii.


--- i ---
First-principles (PBE) data for crystalline Zr2TcPb at its relaxed geometry, as listed in Alexandria via LeMat-Bulk.

Structure (POSCAR):
```
Zr2TcPb
1.0
3.420 0.000 0.000
0.000 3.420 0.000
0.000 0.000 7.181
Tc Zr Pb
1 2 1
Cartesian
1.710 1.710 5.481
0.000 0.000 6.939
1.710 1.710 1.726
0.000 0.000 3.806
```

- Symmetry: P4mm (99)
- Theoretical density: 9.64 Mg/m³
- Crystal system: tetragonal


--- ii ---
First-principles (PBE) data for crystalline Zr2TcPb at its relaxed geometry, as listed in Alexandria via LeMat-Bulk.

Structure (POSCAR):
```
Zr2TcPb
1.0
-3.327 -1.607 3.142
1.186 -0.675 4.653
-1.754 2.973 3.406
Tc Pb Zr
1 1 2
Cartesian
-2.921 0.519 8.401
-1.947 0.346 5.601
-0.974 0.173 2.800
0.000 0.000 0.000
```

- Symmetry: F-43m (216)
- Theoretical density: 10.04 Mg/m³
- Crystal system: cubic


--- iii ---
First-principles (PBE) data for crystalline Zr2TcPb at its relaxed geometry, as listed in Alexandria via LeMat-Bulk.

Structure (POSCAR):
```
Zr2TcPb
1.0
-1.978 3.165 -2.847
-3.782 0.135 2.778
1.555 2.754 1.982
Zr Tc Pb
2 1 1
Cartesian
0.000 0.000 0.000
-2.880 1.650 -0.034
-1.113 1.445 2.380
-0.212 2.960 -0.432
```

- Symmetry: P4/mmm (123)
- Theoretical density: 9.85 Mg/m³
- Crystal system: tetragonal


The least stable of them is ii.


--- i ---
First-principles (PBE) data for crystalline Zr2TcPb at its relaxed geometry, as listed in Alexandria via LeMat-Bulk.

Structure (POSCAR):
```
Zr2TcPb
1.0
9.529 0.013 0.008
8.961 3.243 0.008
8.961 1.578 2.833
Tc Zr Pb
1 2 1
Cartesian
20.492 3.608 2.126
6.932 1.221 0.719
0.252 0.044 0.026
13.500 2.377 1.401
```

- Symmetry: R3m (160)
- Theoretical density: 9.31 Mg/m³
- Crystal system: trigonal


--- ii ---
First-principles (PBE) data for crystalline Zr2TcPb at its relaxed geometry, as listed in Alexandria via LeMat-Bulk.

Structure (POSCAR):
```
Zr2TcPb
1.0
-3.497 -0.512 6.996
6.070 -4.138 2.731
2.597 0.149 5.700
Zr Tc Pb
4 2 2
Cartesian
3.233 -1.850 8.067
-0.593 -0.773 5.770
3.822 -2.640 4.376
3.879 -3.739 12.642
4.977 -3.157 6.648
1.286 -2.325 4.864
0.000 0.000 0.000
0.193 -1.344 8.780
```

- Symmetry: I-42d (122)
- Theoretical density: 9.02 Mg/m³
- Crystal system: tetragonal


--- iii ---
First-principles (PBE) data for crystalline Zr2TcPb at its relaxed geometry, as listed in Alexandria via LeMat-Bulk.

Structure (POSCAR):
```
Zr2TcPb
1.0
3.271 0.028 0.000
-0.028 3.271 0.000
0.000 0.000 8.105
Zr Tc Pb
2 1 1
Cartesian
0.000 0.000 7.687
0.000 0.000 4.471
1.621 1.650 6.079
1.621 1.650 2.026
```

- Symmetry: P4/mmm (123)
- Theoretical density: 9.34 Mg/m³
- Crystal system: tetragonal


The least stable of them is ii.


--- i ---
First-principles (PBE) data for crystalline ZrTc2Pb at its relaxed geometry, as listed in Alexandria via LeMat-Bulk.

Structure (POSCAR):
```
ZrTc2Pb
1.0
-0.245 5.553 0.568
-0.774 4.208 3.592
3.837 1.851 1.494
Tc Zr Pb
2 1 1
Cartesian
3.793 1.922 1.518
2.176 8.606 4.206
1.449 5.742 2.806
0.646 2.999 1.446
```

- Symmetry: Imm2 (44)
- Theoretical density: 11.24 Mg/m³
- Crystal system: orthorhombic


--- ii ---
First-principles (PBE) data for crystalline ZrTc2Pb at its relaxed geometry, as listed in Alexandria via LeMat-Bulk.

Structure (POSCAR):
```
ZrTc2Pb
1.0
-2.963 -2.049 -3.328
-2.307 -4.207 -1.016
-4.731 0.662 1.961
Tc Zr Pb
2 1 1
Cartesian
-4.681 0.609 1.897
-5.050 -2.744 -1.128
-7.501 -4.196 -1.788
-2.500 -1.399 -0.596
```

- Symmetry: C2/m (12)
- Theoretical density: 11.00 Mg/m³
- Crystal system: monoclinic


The least stable of them is ii.


--- i ---
First-principles (PBE) data for crystalline ZrTc2Pb at its relaxed geometry, as listed in Alexandria via LeMat-Bulk.

Structure (POSCAR):
```
ZrTc2Pb
1.0
-7.072 6.644 -0.660
-7.368 5.353 -3.414
-8.757 4.116 -0.989
Zr Tc Pb
1 2 1
Cartesian
-11.754 8.165 -2.565
-22.980 15.962 -5.015
-6.022 4.183 -1.314
-17.237 11.973 -3.762
```

- Symmetry: R3m (160)
- Theoretical density: 10.62 Mg/m³
- Crystal system: trigonal


--- ii ---
First-principles (PBE) data for crystalline ZrTc2Pb at its relaxed geometry, as listed in Alexandria via LeMat-Bulk.

Structure (POSCAR):
```
ZrTc2Pb
1.0
-0.683 1.991 -2.263
1.727 -1.643 -1.967
-6.417 -4.413 -1.946
Tc Zr Pb
2 1 1
Cartesian
-0.266 -0.183 -0.081
-0.894 -0.800 -2.544
-2.959 -2.034 -0.897
-4.463 -3.254 -3.627
```

- Symmetry: P4mm (99)
- Theoretical density: 10.71 Mg/m³
- Crystal system: tetragonal


--- iii ---
First-principles (PBE) data for crystalline ZrTc2Pb at its relaxed geometry, as listed in Alexandria via LeMat-Bulk.

Structure (POSCAR):
```
ZrTc2Pb
1.0
0.000 3.313 3.313
3.313 0.000 3.313
3.313 3.313 0.000
Zr Tc Pb
1 2 1
Cartesian
0.000 0.000 0.000
1.656 1.656 1.656
4.969 4.969 4.969
3.313 3.313 3.313
```

- Symmetry: Fm-3m (225)
- Theoretical density: 11.29 Mg/m³
- Crystal system: cubic


--- iv ---
First-principles (PBE) data for crystalline ZrTc2Pb at its relaxed geometry, as listed in Alexandria via LeMat-Bulk.

Structure (POSCAR):
```
ZrTc2Pb
1.0
4.119 0.000 0.000
0.000 3.116 0.037
0.000 3.042 5.849
Tc Pb Zr
2 1 1
Cartesian
0.000 3.117 0.225
2.060 1.539 1.394
2.060 4.618 4.488
0.000 3.077 2.757
```

- Symmetry: Pmm2 (25)
- Theoretical density: 11.00 Mg/m³
- Crystal system: orthorhombic


The least stable of them is i.


--- i ---
First-principles (PBE) data for crystalline ZrTc3Pb at its relaxed geometry, as listed in Alexandria via LeMat-Bulk.

Structure (POSCAR):
```
ZrTc3Pb
1.0
-0.540 1.110 -4.740
-3.441 -3.461 -0.418
-3.444 3.284 1.161
Zr Tc Pb
1 3 1
Cartesian
-3.713 0.466 -1.999
-1.721 -1.731 -0.209
-0.270 0.555 -2.370
-1.722 1.642 0.581
0.000 0.000 0.000
```

- Symmetry: Pm-3m (221)
- Theoretical density: 8.37 Mg/m³
- Crystal system: cubic


--- ii ---
First-principles (PBE) data for crystalline ZrTc3Pb at its relaxed geometry, as listed in Alexandria via LeMat-Bulk.

Structure (POSCAR):
```
ZrTc3Pb
1.0
-0.063 -3.786 3.046
3.566 2.033 2.601
-3.301 2.269 2.752
Zr Pb Tc
1 1 3
Cartesian
0.000 0.000 0.000
0.101 0.258 4.200
-0.032 -1.893 1.523
-1.650 1.135 1.376
1.783 1.016 1.301
```

- Symmetry: Pm-3m (221)
- Theoretical density: 8.57 Mg/m³
- Crystal system: cubic


The least stable of them is i.


--- i ---
First-principles (PBE) data for crystalline Te5Pb at its relaxed geometry, as listed in Alexandria via LeMat-Bulk.

Structure (POSCAR):
```
Te5Pb
1.0
1.625 6.719 1.326
-2.601 -1.818 -6.282
-4.168 0.708 1.521
Te Pb
5 1
Cartesian
-0.344 1.725 -1.745
-3.276 1.382 -2.986
-1.868 4.227 -0.450
-1.685 -1.178 -4.071
1.053 4.353 0.859
-2.084 0.354 0.760
```

- Symmetry: P-62m (189)
- Theoretical density: 7.28 Mg/m³
- Crystal system: hexagonal


--- ii ---
First-principles (PBE) data for crystalline Te5Pb at its relaxed geometry, as listed in Alexandria via LeMat-Bulk.

Structure (POSCAR):
```
Te5Pb
1.0
-0.134 3.751 1.084
-3.157 -0.742 2.178
6.812 -2.375 9.065
Te Pb
5 1
Cartesian
3.406 -1.187 4.532
0.691 0.690 4.741
2.829 -0.056 7.586
1.155 -0.403 1.537
5.657 -1.972 7.528
-1.646 1.504 1.631
```

- Symmetry: P4/mmm (123)
- Theoretical density: 7.94 Mg/m³
- Crystal system: tetragonal


The least stable of them is ii.


--- i ---
First-principles (PBE) data for crystalline Te4Pb3 at its relaxed geometry, as listed in Alexandria via LeMat-Bulk.

Structure (POSCAR):
```
Te4Pb3
1.0
3.493 -6.051 0.000
3.493 6.051 0.000
0.000 0.000 5.589
Te Pb
4 3
Cartesian
0.000 0.000 1.476
3.493 -2.017 2.795
0.000 0.000 4.114
3.493 2.017 2.795
1.747 -3.025 0.000
1.747 3.025 0.000
3.493 0.000 0.000
```

- Symmetry: P6/mmm (191)
- Theoretical density: 7.96 Mg/m³
- Crystal system: hexagonal


--- ii ---
First-principles (PBE) data for crystalline Te4Pb3 at its relaxed geometry, as listed in Alexandria via LeMat-Bulk.

Structure (POSCAR):
```
Te4Pb3
1.0
-1.632 2.218 3.594
0.985 -1.430 4.181
10.987 8.319 2.707
Te Pb
4 3
Cartesian
3.970 4.109 7.823
6.370 4.999 2.659
9.225 7.470 5.283
1.115 1.637 5.199
0.000 0.000 0.000
3.002 2.577 2.625
7.338 6.530 7.857
```

- Symmetry: R-3m (166)
- Theoretical density: 7.67 Mg/m³
- Crystal system: trigonal


The least stable of them is i.


--- i ---
First-principles (PBE) data for crystalline Te4Pb at its relaxed geometry, as listed in Alexandria via LeMat-Bulk.

Structure (POSCAR):
```
Te4Pb
1.0
-4.236 4.236 2.210
4.236 -4.236 2.210
4.236 4.236 -2.210
Te Pb
4 1
Cartesian
5.522 1.436 0.000
2.800 1.286 2.210
-1.286 2.800 2.210
1.436 2.949 0.000
0.000 0.000 0.000
```

- Symmetry: I4/m (87)
- Theoretical density: 7.51 Mg/m³
- Crystal system: tetragonal


--- ii ---
First-principles (PBE) data for crystalline Te4Pb at its relaxed geometry, as listed in Alexandria via LeMat-Bulk.

Structure (POSCAR):
```
Te4Pb
1.0
-5.497 -0.470 -1.878
-0.141 -5.542 1.799
-1.931 1.742 5.216
Te Pb
4 1
Cartesian
0.000 0.000 0.000
-1.036 -1.900 3.507
-2.819 -3.006 -0.040
-3.714 0.636 1.669
-3.784 -2.135 2.568
```

- Symmetry: Pm-3m (221)
- Theoretical density: 6.02 Mg/m³
- Crystal system: cubic


The least stable of them is ii.


--- i ---
First-principles (PBE) data for crystalline ThTe4Pb2 at its relaxed geometry, as listed in Alexandria via LeMat-Bulk.

Structure (POSCAR):
```
ThTe4Pb2
1.0
4.433 0.000 -1.213
-1.053 7.179 -3.847
0.036 -0.280 8.838
Pb Te Th
2 4 1
Cartesian
2.447 5.304 0.235
0.970 1.596 3.543
2.487 1.891 0.381
-0.324 5.682 -1.184
0.930 5.009 3.397
3.740 1.217 4.962
0.000 0.000 0.000
```

- Symmetry: C2/m (12)
- Theoretical density: 6.95 Mg/m³
- Crystal system: monoclinic


--- ii ---
First-principles (PBE) data for crystalline ThTe4Pb2 at its relaxed geometry, as listed in Alexandria via LeMat-Bulk.

Structure (POSCAR):
```
ThTe4Pb2
1.0
-0.326 -0.884 4.272
1.943 -6.941 -3.528
14.699 3.207 1.784
Pb Te Th
4 8 2
Cartesian
9.492 -4.083 2.118
1.452 -1.707 -0.243
14.864 -2.911 2.770
6.824 -0.535 0.409
7.187 1.161 3.028
13.599 -0.351 0.964
3.761 0.445 0.379
6.347 -3.476 2.004
12.555 -5.063 2.149
-0.163 -0.442 2.136
2.717 -4.268 1.564
9.969 -1.142 0.523
11.289 0.189 3.140
5.027 -4.808 -0.612
```

- Symmetry: Cmcm (63)
- Theoretical density: 7.51 Mg/m³
- Crystal system: orthorhombic


The least stable of them is ii.